No. 1
VASP calculation (PBE) on an optimized crystal structure of Mg4Ga2Ag.

Output
* Fermi-level density of states: 0.287 states/eV/atom
* symmetry: Cmmm, No. 65
* crystal system: orthorhombic
* energy of formation from the pure elements: -0.12 eV/atom
* V: 20.5 A^3/atom
* total magnetization: 0.0 Bohr magnetons per cell

abc: 5.7467 5.7467 4.4383
angles: 90.00 90.00 101.87
Fractional positions:
Mg1 0.0000 0.5000 0.5000
Mg2 0.2163 0.2163 0.0000
Mg3 0.5000 0.0000 0.5000
Mg4 0.7837 0.7837 0.0000
Ga1 0.2719 0.7281 0.0000
Ga2 0.7281 0.2719 0.0000
Ag1 0.5000 0.5000 0.5000

No. 2
VASP calculation (PBE) on an optimized crystal structure of Mg4GaAg.

Output
* Fermi-level density of states: 0.694 states/eV/atom
* symmetry: C2/m, No. 12
* crystal system: monoclinic
* energy of formation from the pure elements: -0.06 eV/atom
* V: 23.0 A^3/atom
* total magnetization: 0.0 Bohr magnetons per cell

abc: 4.5848 4.5848 6.5769
angles: 90.04 90.04 89.99
Fractional positions:
Mg1 0.9998 0.5004 0.2503
Mg2 0.0002 0.4996 0.7497
Mg3 0.5004 0.9998 0.2503
Mg4 0.4996 0.0002 0.7497
Ga1 0.0000 0.0000 0.0000
Ag1 0.5000 0.5000 0.5000

No. 3
VASP calculation (PBE) on an optimized crystal structure of MgGa4Ag8.

Output
* Fermi-level density of states: 0.302 states/eV/atom
* symmetry: C2/m, No. 12
* crystal system: monoclinic
* energy of formation from the pure elements: -0.04 eV/atom
* V: 17.6 A^3/atom
* total magnetization: 0.0 Bohr magnetons per cell

abc: 5.0363 5.0363 11.9479
angles: 91.52 91.52 49.02
Fractional positions:
Mg1 0.0000 0.0000 0.0000
Ga1 0.1497 0.1497 0.5407
Ga2 0.3747 0.3747 0.8410
Ga3 0.6253 0.6253 0.1590
Ga4 0.8503 0.8503 0.4593
Ag1 0.0662 0.0662 0.7697
Ag2 0.2404 0.2404 0.3131
Ag3 0.3109 0.3109 0.0756
Ag4 0.4521 0.4521 0.6131
Ag5 0.5479 0.5479 0.3869
Ag6 0.6891 0.6891 0.9244
Ag7 0.7596 0.7596 0.6869
Ag8 0.9338 0.9338 0.2303

No. 4
VASP calculation (PBE) on an optimized crystal structure of MgGa4Ag7.

Output
* Fermi-level density of states: 0.163 states/eV/atom
* symmetry: P-1, No. 2
* crystal system: triclinic
* energy of formation from the pure elements: -0.02 eV/atom
* V: 18.2 A^3/atom
* total magnetization: 0.0 Bohr magnetons per cell

abc: 5.1692 5.3710 8.0344
angles: 93.87 100.62 94.45
Fractional positions:
Mg1 0.0000 0.0000 0.0000
Ga1 0.1505 0.3753 0.6846
Ga2 0.3817 0.7961 0.2382
Ga3 0.6183 0.2039 0.7618
Ga4 0.8495 0.6247 0.3154
Ag1 0.0000 0.5000 0.0000
Ag2 0.2309 0.3043 0.3416
Ag3 0.2487 0.8730 0.5537
Ag4 0.4587 0.7457 0.9094
Ag5 0.5413 0.2543 0.0906
Ag6 0.7513 0.1270 0.4463
Ag7 0.7691 0.6957 0.6584

No. 5
VASP calculation (PBE) on an optimized crystal structure of Mg6GaAg12.

Output
* Fermi-level density of states: 0.356 states/eV/atom
* symmetry: R-3, No. 148
* crystal system: trigonal
* energy of formation from the pure elements: -0.11 eV/atom
* V: 18.7 A^3/atom
* total magnetization: 0.0 Bohr magnetons per cell

abc: 7.0805 7.0805 7.0805
angles: 91.76 91.76 91.76
Fractional positions:
Mg1 0.2153 0.3841 0.7728
Mg2 0.2272 0.7847 0.6159
Mg3 0.3841 0.7728 0.2153
Mg4 0.6159 0.2272 0.7847
Mg5 0.7728 0.2153 0.3841
Mg6 0.7847 0.6159 0.2272
Ga1 0.5000 0.5000 0.5000
Ag1 0.0344 0.9444 0.2958
Ag2 0.0556 0.7042 0.9656
Ag3 0.1352 0.4677 0.3516
Ag4 0.2958 0.0344 0.9444
Ag5 0.3516 0.1352 0.4677
Ag6 0.4677 0.3516 0.1352
Ag7 0.5323 0.6484 0.8648
Ag8 0.6484 0.8648 0.5323
Ag9 0.7042 0.9656 0.0556
Ag10 0.8648 0.5323 0.6484
Ag11 0.9444 0.2958 0.0344
Ag12 0.9656 0.0556 0.7042

No. 6
VASP calculation (PBE) on an optimized crystal structure of Mg2Ga5Ag3.

Output
* Fermi-level density of states: 0.270 states/eV/atom
* symmetry: C2/c, No. 15
* crystal system: monoclinic
* energy of formation from the pure elements: -0.08 eV/atom
* V: 18.5 A^3/atom
* total magnetization: 0.0 Bohr magnetons per cell

abc: 8.2746 8.2746 5.5252
angles: 94.08 94.08 99.38
Fractional positions:
Mg1 0.1260 0.6336 0.8852
Mg2 0.3664 0.8740 0.6148
Mg3 0.6336 0.1260 0.3852
Mg4 0.8740 0.3664 0.1148
Ga1 0.0130 0.7189 0.3894
Ga2 0.2135 0.2864 0.9825
Ga3 0.2811 0.9870 0.1106
Ga4 0.2864 0.2135 0.4825
Ga5 0.4575 0.5425 0.7500
Ga6 0.5425 0.4575 0.2500
Ga7 0.7136 0.7865 0.5175
Ga8 0.7189 0.0130 0.8894
Ga9 0.7865 0.7136 0.0175
Ga10 0.9870 0.2811 0.6106
Ag1 0.0375 0.9625 0.7500
Ag2 0.2254 0.5214 0.3587
Ag3 0.4786 0.7746 0.1413
Ag4 0.5214 0.2254 0.8587
Ag5 0.7746 0.4786 0.6413
Ag6 0.9625 0.0375 0.2500

No. 7
VASP calculation (PBE) on an optimized crystal structure of Mg8GaAg6.

Output
* Fermi-level density of states: 0.519 states/eV/atom
* symmetry: R-3, No. 148
* crystal system: trigonal
* energy of formation from the pure elements: -0.14 eV/atom
* V: 20.8 A^3/atom
* total magnetization: 0.0 Bohr magnetons per cell

abc: 7.3487 7.3487 7.3487
angles: 65.25 65.25 65.25
Fractional positions:
Mg1 0.0449 0.7194 0.3829
Mg2 0.1654 0.1654 0.1654
Mg3 0.2806 0.6171 0.9551
Mg4 0.3829 0.0449 0.7194
Mg5 0.6171 0.9551 0.2806
Mg6 0.7194 0.3829 0.0449
Mg7 0.8346 0.8346 0.8346
Mg8 0.9551 0.2806 0.6171
Ga1 0.5000 0.5000 0.5000
Ag1 0.1224 0.4504 0.7774
Ag2 0.2226 0.8776 0.5496
Ag3 0.4504 0.7774 0.1224
Ag4 0.5496 0.2226 0.8776
Ag5 0.7774 0.1224 0.4504
Ag6 0.8776 0.5496 0.2226

No. 8
VASP calculation (PBE) on an optimized crystal structure of MgGa3Ag5.

Output
* Fermi-level density of states: 0.409 states/eV/atom
* symmetry: C2/m, No. 12
* crystal system: monoclinic
* energy of formation from the pure elements: 0.12 eV/atom
* V: 20.9 A^3/atom
* total magnetization: 0.0 Bohr magnetons per cell

abc: 8.1144 8.1144 7.3723
angles: 107.78 107.78 55.88
Fractional positions:
Mg1 0.2093 0.2093 0.2569
Mg2 0.7907 0.7907 0.7431
Ga1 0.0000 0.0000 0.0000
Ga2 0.0000 0.0000 0.5000
Ga3 0.3248 0.3248 0.9803
Ga4 0.4284 0.4284 0.3398
Ga5 0.5716 0.5716 0.6602
Ga6 0.6752 0.6752 0.0197
Ag1 0.0167 0.6357 0.4303
Ag2 0.1337 0.1337 0.8586
Ag3 0.3226 0.6774 0.0000
Ag4 0.3643 0.9833 0.5697
Ag5 0.3677 0.3677 0.6560
Ag6 0.6323 0.6323 0.3440
Ag7 0.6357 0.0167 0.4303
Ag8 0.6774 0.3226 0.0000
Ag9 0.8663 0.8663 0.1414
Ag10 0.9833 0.3643 0.5697